The following is a GGA-PBE calculation of Pr5MgTl5 after structural relaxation, from Alexandria.

Cell: 5.897 9.093 7.272 Å, 108.99 90.00 108.92°
Sites, in units of the cell vectors:
Mg1 0.000 0.000 0.000
Tl1 0.158 0.316 0.940
Tl2 0.158 0.316 0.372
Tl3 0.842 0.684 0.628
Pr1 0.627 0.253 0.680
Pr2 0.697 0.394 0.231
Pr3 0.303 0.606 0.769
Tl4 0.842 0.684 0.060
Pr4 0.373 0.747 0.320
Tl5 0.500 0.000 0.000
Pr5 0.000 0.000 0.500

Properties
The energy of formation from the pure elements is -0.16 eV/atom. Its total energy is -3.55 eV per atom. The value obtained for the total magnetization is 0.00 μB/cell.